[1]
Compound: AcPm2Dy7
Source: Alexandria
Functional: PBE
Structure: optimized geometry

Geometry as extended XYZ:
```
10
Lattice="-2.548 -1.826 1.921 -5.220 1.555 -8.974 7.075 -7.629 -1.394" Properties=species:S:1:pos:R:3 pbc="T T T"
Ac 0.000 0.000 0.000
Pm -4.262 -1.026 -6.637
Pm 3.569 -6.875 -1.810
Dy -1.048 -1.562 -6.402
Dy 0.355 -6.339 -2.046
Dy 1.778 -3.460 -0.933
Dy -2.471 -4.441 -7.515
Dy -2.130 -0.540 -3.342
Dy 1.437 -7.360 -5.105
Dy -0.347 -3.950 -4.224
```

Results
electronic total energy	-4.27	eV per atom
ΔE_f	0.3111	eV per atom
volume	36.46	Å³/atom
energy relative to the lowest polymorph listed for this composition	0	meV/atom

=====

[2]
Compound: Th3Zr2Bi3
Source: Alexandria
Functional: PBE
Structure: optimized geometry

Geometry as extended XYZ:
```
16
Lattice="6.201 0.000 0.000 0.000 8.003 -4.621 0.000 0.000 9.242" Properties=species:S:1:pos:R:3 pbc="T T T"
Th 4.651 1.964 -1.134
Th 4.651 6.039 3.487
Th 4.651 0.000 2.268
Th 1.550 6.039 -3.487
Th 1.550 1.964 1.134
Th 1.550 0.000 6.973
Zr 0.000 2.668 4.621
Zr 3.100 5.336 0.000
Zr 0.000 5.336 0.000
Zr 3.100 2.668 4.621
Bi 4.651 4.796 -2.769
Bi 4.651 3.207 1.852
Bi 4.651 0.000 5.538
Bi 1.550 3.207 -1.852
Bi 1.550 4.796 2.769
Bi 1.550 0.000 3.703
```

Results
electronic total energy	-6.75	eV per atom
ΔE_f	-0.3800	eV per atom
volume	28.66	Å³/atom
energy relative to the lowest polymorph listed for this composition	0	meV/atom

=====

[3]
Compound: Rb2NaHgBi
Source: Alexandria
Functional: PBE
Structure: optimized geometry

Geometry as extended XYZ:
```
5
Lattice="7.250 0.000 0.000 0.000 7.250 0.000 0.000 0.000 6.024" Properties=species:S:1:pos:R:3 pbc="T T T"
Na 0.000 0.000 3.012
Bi 0.000 0.000 0.000
Rb 0.000 3.625 0.000
Rb 3.625 0.000 0.000
Hg 3.625 3.625 3.012
```

Results
electronic total energy	-1.67	eV per atom
ΔE_f	-0.1787	eV per atom
volume	63.33	Å³/atom

=====

[4]
Compound: NdMgGaPt3
Source: Alexandria
Functional: PBE
Structure: optimized geometry

Geometry as extended XYZ:
```
12
Lattice="5.707 0.000 0.000 0.000 6.957 0.000 0.000 -3.478 6.133" Properties=species:S:1:pos:R:3 pbc="T T T"
Nd 4.280 0.000 3.755
Nd 1.427 3.478 2.378
Mg 1.427 3.478 5.503
Mg 4.280 0.000 0.630
Ga 1.427 0.000 4.533
Ga 4.280 3.478 1.600
Pt 1.427 0.000 2.077
Pt 0.000 2.059 0.000
Pt 2.853 4.898 0.000
Pt 2.853 2.059 0.000
Pt 0.000 4.898 0.000
Pt 4.280 3.478 4.056
```

Results
electronic total energy	-5.23	eV per atom
ΔE_f	-0.6466	eV per atom
volume	20.29	Å³/atom

=====

[5]
Compound: Li2AcPrAu2
Source: Alexandria
Functional: PBE
Structure: optimized geometry

Geometry as extended XYZ:
```
6
Lattice="4.708 0.000 0.000 -2.354 4.077 0.000 0.000 0.000 7.602" Properties=species:S:1:pos:R:3 pbc="T T T"
Li 0.000 2.718 5.934
Li 2.354 1.359 1.668
Ac 0.000 0.000 3.801
Pr 0.000 0.000 0.000
Au 0.000 2.718 1.764
Au 2.354 1.359 5.839
```

Results
electronic total energy	-3.75	eV per atom
ΔE_f	-0.5365	eV per atom
volume	24.32	Å³/atom

=====

[6]
Compound: Eu2TlO
Source: Alexandria
Functional: PBE
Structure: optimized geometry

Geometry as extended XYZ:
```
4
Lattice="3.277 0.000 0.000 0.000 3.277 0.000 0.000 0.000 8.258" Properties=species:S:1:pos:R:3 pbc="T T T"
Eu 0.000 0.000 6.742
Eu 0.000 0.000 1.516
Tl 1.638 1.638 4.129
O 1.638 1.638 0.000
```

Results
electronic total energy	-8.15	eV per atom
E_form (uncorrected)	-1.182	eV per atom
volume	22.16	Å³/atom
energy relative to the lowest polymorph listed for this composition	287	meV/atom

=====

Question: The highest volume belongs to which entry?
Answer: Rb2NaHgBi

=====

Question: The lowest volume belongs to which entry?
Answer: NdMgGaPt3

=====

Question: The lowest electronic total energy belongs to which entry?
Answer: Eu2TlO

=====

Question: electronic total energy of number 1 (AcPm2Dy7)?
Answer: -4.27 eV per atom